Material: Ho6Zn3Ag
Method: DFT, PBE
State: optimized geometry

- SG = No. 11
- energy relative to the elements (eV/atom) = -0.2143
- magnetization (μB/f.u.) = 0.000

Unit cell a=4.9752 b=9.2149 c=11.2979 alpha=108.20 beta=90.00 gamma=90.00
Last column: nearest neighbours and their distance in Å.
Sites, in units of the cell vectors:
Ho: 0.2500 0.4831 0.1058  5 Zn 2.99-3.34
Ho: 0.7500 0.5169 0.8942  5 Zn 2.99-3.34
Ho: 0.2500 0.1207 0.1551  5 Ho 3.15-3.41, 3 Zn 3.20-3.23
Ho: 0.7500 0.8793 0.8449  5 Ho 3.15-3.41, 3 Zn 3.20-3.23
Ho: 0.2500 0.6434 0.6896  5 Zn 2.94-3.25, 1 Ag 2.95
Ho: 0.7500 0.3566 0.3104  5 Zn 2.94-3.25, 1 Ag 2.95
Ho: 0.2500 0.2697 0.4927  4 Zn 2.94-3.10, 2 Ag 3.12
Ho: 0.7500 0.7303 0.5073  4 Zn 2.94-3.10, 2 Ag 3.12
Ho: 0.2500 0.8596 0.3361  3 Ag 3.10-3.11, 3 Zn 3.17-3.22
Ho: 0.7500 0.1404 0.6639  3 Ag 3.10-3.11, 3 Zn 3.17-3.22
Ho: 0.2500 0.1314 0.8788  3 Zn 2.83-2.97, 1 Ag 2.91, 1 Ho 3.15
Ho: 0.7500 0.8686 0.1212  3 Zn 2.83-2.97, 1 Ag 2.91, 1 Ho 3.15
Zn: 0.2500 0.5407 0.3871  8 Ho 2.98-3.25, 2 Zn 3.30
Zn: 0.7500 0.4593 0.6129  8 Ho 2.98-3.25, 2 Zn 3.30
Zn: 0.2500 0.3662 0.7665  5 Ho 2.83-2.99
Zn: 0.7500 0.6338 0.2335  5 Ho 2.83-2.99
Zn: 0.2500 0.7706 0.9742  6 Ho 2.97-3.23
Zn: 0.7500 0.2294 0.0258  6 Ho 2.97-3.23
Ag: 0.2500 0.9286 0.6228  7 Ho 2.91-3.12
Ag: 0.7500 0.0714 0.3772  7 Ho 2.91-3.12